A relaxed structure of Tl7In3Hg, computed with PBE-GGA.

Output
Polymorph energy (0 for the lowest one) = 0.000 eV per atom
Total moment = 0.0 μB/cell
Energy of formation from the pure elements = 0.066 eV/atom
Uncorrected energy = -2.214 eV/atom

```
Tl7In3Hg
1.0
7.712 0.000 0.000
0.000 7.107 0.000
0.000 -3.553 6.155
Tl In Hg
7 3 1
Cartesian
0.788 1.846 5.169
0.788 0.000 1.972
0.915 3.553 2.052
3.642 3.553 4.181
0.788 -1.846 5.169
3.642 5.398 0.987
3.642 1.709 0.987
6.015 1.701 3.121
6.015 0.000 6.067
6.015 -1.701 3.121
3.344 0.000 4.103
```

---

A relaxed structure of Hf2UB, computed with PBE-GGA.

Output
Total moment = 2.8 μB/cell
Energy of formation from the pure elements = 0.006 eV/atom
Uncorrected energy = -9.462 eV/atom

```
Hf2UB
1.0
-0.112 2.410 -2.261
-2.054 -0.247 -2.580
-6.523 4.451 2.648
Hf B U
2 1 1
Cartesian
-2.659 1.967 -0.191
-6.030 4.648 -2.002
-4.344 3.307 -1.096
0.000 0.000 0.000
```

---

A relaxed structure of InB2PIr, computed with PBE-GGA.

Output
Total moment = 0.0 μB/cell
Energy of formation from the pure elements = 2.249 eV/atom
Uncorrected energy = -3.824 eV/atom

```
InB2PIr
1.0
4.151 0.000 0.000
0.000 5.336 0.000
0.000 0.000 4.151
P B Ir In
1 2 1 1
Cartesian
2.075 2.668 2.075
0.000 0.000 2.075
2.075 0.000 0.000
0.000 2.668 0.000
0.000 0.000 0.000
```

---

A relaxed structure of CaSmEuIn, computed with PBE-GGA.

Output
Total moment = 7.4 μB/cell
Energy of formation from the pure elements = -0.172 eV/atom
Uncorrected energy = -5.105 eV/atom

```
CaSmEuIn
1.0
-1.985 -3.400 -4.076
2.909 -4.628 -1.495
-1.985 -5.142 1.316
Ca In Eu Sm
1 1 1 1
Cartesian
-0.795 -9.877 -3.191
-0.265 -3.292 -1.064
0.000 0.000 0.000
-0.530 -6.585 -2.127
```